# 1
# Pr3Sm3In2 (GGA-PBE, optimized geometry)
data_Pr3Sm3In2
_chemical_formula_sum 'Pr12 Sm12 In8'
_cell_length_a 5.3580
_cell_length_b 12.2674
_cell_length_c 16.0359
_cell_angle_alpha 90.00
_cell_angle_beta 90.00
_cell_angle_gamma 90.00
_symmetry_space_group_name_H-M 'C m c m'
_symmetry_Int_Tables_number 63
_symmetry_space_group_name_Hall '-C 2c 2'
loop_
_atom_site_label
_atom_site_type_symbol
_atom_site_fract_x
_atom_site_fract_y
_atom_site_fract_z
_atom_site_occupancy
Pr1 Pr 0.0000 0.0390 0.1066 1
Pr2 Pr 0.0000 0.2688 0.2500 1
Sm1 Sm 0.0000 0.3602 0.0309 1
Sm2 Sm 0.0000 0.4522 0.7500 1
In1 In 0.0000 0.2265 0.6387 1
# Calculated formation energy, eV/f.u.: -1.263
# Theoretical density, g/cm3: 7.0
# VASP energy, eV per cell: -140.94

# 2
# Pr3Sm7In (GGA-PBE, optimized geometry)
data_Pr3Sm7In
_chemical_formula_sum 'Pr3 Sm7 In1'
_cell_length_a 7.1185
_cell_length_b 7.1185
_cell_length_c 8.7337
_cell_angle_alpha 90.00
_cell_angle_beta 90.00
_cell_angle_gamma 120.00
_symmetry_space_group_name_H-M 'P 3 m 1'
_symmetry_Int_Tables_number 156
loop_
_symmetry_equiv_pos_as_xyz
'x,y,z'
'-y,x-y,z'
'-x+y,-x,z'
'-y,-x,z'
'-x+y,y,z'
'x,x-y,z'
loop_
_atom_site_label
_atom_site_type_symbol
_atom_site_fract_x
_atom_site_fract_y
_atom_site_fract_z
_atom_site_occupancy
Pr1 Pr 0.0007 0.5003 0.0000 1
Sm1 Sm 0.1685 0.3370 0.3460 1
Sm2 Sm 0.3380 0.1690 0.6651 1
Sm3 Sm 0.6667 0.3333 0.3319 1
In1 In 0.3333 0.6667 0.6660 1
# Calculated formation energy, eV/f.u.: 0.984
# Theoretical density, g/cm3: 6.9
# VASP energy, eV per cell: -49.13

# 3
# PrSm5In6 (GGA-PBE, optimized geometry)
data_PrSm5In6
_chemical_formula_sum 'Pr2 Sm10 In12'
_cell_length_a 9.3982
_cell_length_b 16.3079
_cell_length_c 5.4318
_cell_angle_alpha 90.00
_cell_angle_beta 125.21
_cell_angle_gamma 90.00
_symmetry_space_group_name_H-M 'C 1 2/m 1'
_symmetry_Int_Tables_number 12
loop_
_symmetry_equiv_pos_as_xyz
'x,y,z'
'-x,-y,-z'
'-x,y,-z'
'x,-y,z'
'x+1/2,y+1/2,z'
'-x+1/2,-y+1/2,-z'
'-x+1/2,y+1/2,-z'
'x+1/2,-y+1/2,z'
loop_
_atom_site_label
_atom_site_type_symbol
_atom_site_fract_x
_atom_site_fract_y
_atom_site_fract_z
_atom_site_occupancy
Pr1 Pr 0.0000 0.0000 0.0000 1
Sm1 Sm 0.0000 0.1645 0.5000 1
Sm2 Sm 0.0000 0.3323 0.0000 1
Sm3 Sm 0.0000 0.5000 0.5000 1
In1 In 0.2437 0.5000 0.2438 1
In2 In 0.2468 0.3318 0.7467 1
# Calculated formation energy, eV/f.u.: -5.899
# Theoretical density, g/cm3: 7.7
# VASP energy, eV per cell: -101.41

# 4
# PrSmIn2 (GGA-PBE, optimized geometry)
data_PrSmIn2
_chemical_formula_sum 'Pr3 Sm3 In6'
_cell_length_a 3.8404
_cell_length_b 3.8404
_cell_length_c 29.4666
_cell_angle_alpha 90.00
_cell_angle_beta 90.00
_cell_angle_gamma 120.00
_symmetry_space_group_name_H-M 'R -3 m'
_symmetry_Int_Tables_number 166
_symmetry_space_group_name_Hall '-R 3 2"'
loop_
_atom_site_label
_atom_site_type_symbol
_atom_site_fract_x
_atom_site_fract_y
_atom_site_fract_z
_atom_site_occupancy
Pr1 Pr 0.0000 0.0000 0.0000 1
Sm1 Sm 0.0000 0.0000 0.5000 1
In1 In 0.0000 0.0000 0.2486 1
# Calculated formation energy, eV/f.u.: -1.249
# Theoretical density, g/cm3: 6.9
# VASP energy, eV per cell: -48.67

# 5
# Pr4Sm15In (GGA-PBE, optimized geometry)
data_Pr4Sm15In
_chemical_formula_sum 'Pr4 Sm15 In1'
_cell_length_a 5.0944
_cell_length_b 5.0944
_cell_length_c 25.8286
_cell_angle_alpha 90.00
_cell_angle_beta 90.00
_cell_angle_gamma 90.00
_symmetry_space_group_name_H-M 'P 4/m m m'
_symmetry_Int_Tables_number 123
_symmetry_space_group_name_Hall '-P 4 2'
loop_
_atom_site_label
_atom_site_type_symbol
_atom_site_fract_x
_atom_site_fract_y
_atom_site_fract_z
_atom_site_occupancy
Pr1 Pr 0.0000 0.0000 0.1007 1
Pr2 Pr 0.0000 0.0000 0.3032 1
Sm1 Sm 0.0000 0.5000 0.0000 1
Sm2 Sm 0.0000 0.5000 0.2025 1
Sm3 Sm 0.0000 0.5000 0.4051 1
Sm4 Sm 0.5000 0.5000 0.1018 1
Sm5 Sm 0.5000 0.5000 0.3051 1
Sm6 Sm 0.5000 0.5000 0.5000 1
In1 In 0.0000 0.0000 0.5000 1
# Calculated formation energy, eV/f.u.: -0.663
# Theoretical density, g/cm3: 7.3
# VASP energy, eV per cell: -93.31

# 6
# Pr4SmIn4 (GGA-PBE, optimized geometry)
data_Pr4SmIn4
_chemical_formula_sum 'Pr8 Sm2 In8'
_cell_length_a 7.2751
_cell_length_b 7.2751
_cell_length_c 11.0566
_cell_angle_alpha 90.00
_cell_angle_beta 90.00
_cell_angle_gamma 90.00
_symmetry_space_group_name_H-M 'P 42/n m c'
_symmetry_Int_Tables_number 137
loop_
_symmetry_equiv_pos_as_xyz
'x,y,z'
'-x,-y,-z'
'-y+1/2,x,z+1/2'
'y+1/2,-x,-z+1/2'
'-x+1/2,-y+1/2,z'
'x+1/2,y+1/2,-z'
'y,-x+1/2,z+1/2'
'-y,x+1/2,-z+1/2'
'x+1/2,-y,-z'
'-x+1/2,y,z'
'-y,-x,-z+1/2'
'y,x,z+1/2'
'-x,y+1/2,-z'
'x,-y+1/2,z'
'y+1/2,x+1/2,-z+1/2'
'-y+1/2,-x+1/2,z+1/2'
loop_
_atom_site_label
_atom_site_type_symbol
_atom_site_fract_x
_atom_site_fract_y
_atom_site_fract_z
_atom_site_occupancy
Pr1 Pr 0.0266 0.2500 0.1772 1
Sm1 Sm 0.2500 0.7500 0.2500 1
In1 In 0.0123 0.2500 0.4789 1
# Calculated formation energy, eV/f.u.: -1.270
# Theoretical density, g/cm3: 6.7
# VASP energy, eV per cell: -72.12

Question: Look up the VASP energy of the first one.
Answer: -140.94 eV per cell